A geometry-optimized NiPdCF2 structure, computed with PBE with a Hubbard U.

## Properties
Uncorrected energy (eV per atom): -3.7441

Cell lengths 3.9607, 3.9607, 4.0053 Å; angles 90.00, 90.00, 90.00 degrees
Last column: nearest neighbours and their distance in Å.
Space group P4/mmm (No. 123)
Unique sites:
Ni (0.0000, 0.0000, 0.0000) x1  4 Pd 2.80, 8 F 2.82
Pd (0.5000, 0.5000, 0.0000) x1  2 C 2.00
C (0.5000, 0.5000, 0.5000) x1  4 F 1.98, 2 Pd 2.00
F (0.0000, 0.5000, 0.5000) x2  2 C 1.98